# 1
# PBE Rb3SnSe4, relaxed
data_Rb3SnSe4
_space_group_name_H-M_alt 'C 1 2 1'
_space_group_IT_number 5
_cell_length_a 15.1958
_cell_length_b 7.6330
_cell_length_c 6.1959
_cell_angle_alpha 90.00
_cell_angle_beta 114.01
_cell_angle_gamma 90.00
loop_
_space_group_symop_operation_xyz
'x,y,z'
'-x,y,-z'
'x+1/2,y+1/2,z'
'-x+1/2,y+1/2,-z'
loop_
_atom_site_label
_atom_site_type_symbol
_atom_site_fract_x
_atom_site_fract_y
_atom_site_fract_z
Rb1 Rb 0.0000 0.0000 0.0000
Rb2 Rb 0.2109 0.7034 0.7112
Sn1 Sn 0.0000 0.3281 0.5000
Se1 Se 0.0001 0.5778 0.2239
Se2 Se 0.1537 0.1489 0.6534
# DOS(E_F) ... 2.951 states/eV per cell
# Spin magnetization ... 0.00 μB per cell
# Volume ... 41.03 A^3/atom
# Uncorrected formation energy ... -0.84 eV per atom

=====

# 2
# PBE RbSn4Se7, relaxed
data_RbSn4Se7
_space_group_name_H-M_alt 'P m n 21'
_space_group_IT_number 31
_cell_length_a 17.9225
_cell_length_b 6.6296
_cell_length_c 6.6614
_cell_angle_alpha 90.00
_cell_angle_beta 90.00
_cell_angle_gamma 90.00
loop_
_space_group_symop_operation_xyz
'x,y,z'
'-x+1/2,-y,z+1/2'
'-x,y,z'
'x+1/2,-y,z+1/2'
loop_
_atom_site_label
_atom_site_type_symbol
_atom_site_fract_x
_atom_site_fract_y
_atom_site_fract_z
Rb1 Rb 0.0000 0.2249 0.0000
Sn1 Sn 0.1070 0.8159 0.4354
Sn2 Sn 0.2501 0.2738 0.4890
Se1 Se 0.0000 0.6351 0.6269
Se2 Se 0.0912 0.7299 0.0647
Se3 Se 0.0915 0.1931 0.4976
Se4 Se 0.2397 0.6957 0.5571
# DOS(E_F) ... 4.195 states/eV per cell
# Spin magnetization ... 0.00 μB per cell
# Volume ... 32.98 A^3/atom
# Uncorrected formation energy ... -0.45 eV per atom

=====

# 3
# PBE Rb5SnSe5, relaxed
data_Rb5SnSe5
_space_group_name_H-M_alt 'C 1 2/m 1'
_space_group_IT_number 12
_cell_length_a 15.5393
_cell_length_b 6.6109
_cell_length_c 9.2759
_cell_angle_alpha 90.00
_cell_angle_beta 109.68
_cell_angle_gamma 90.00
loop_
_space_group_symop_operation_xyz
'x,y,z'
'-x,-y,-z'
'-x,y,-z'
'x,-y,z'
'x+1/2,y+1/2,z'
'-x+1/2,-y+1/2,-z'
'-x+1/2,y+1/2,-z'
'x+1/2,-y+1/2,z'
loop_
_atom_site_label
_atom_site_type_symbol
_atom_site_fract_x
_atom_site_fract_y
_atom_site_fract_z
Rb1 Rb 0.0000 0.0000 0.0000
Rb2 Rb 0.1678 0.5000 0.3421
Rb3 Rb 0.1946 0.5000 0.8010
Sn1 Sn 0.0000 0.0000 0.5000
Se1 Se 0.0000 0.5000 0.5000
Se2 Se 0.1276 0.0000 0.3660
Se3 Se 0.1361 0.0000 0.7804
# DOS(E_F) ... 26.513 states/eV per cell
# Spin magnetization ... 2.04 μB per cell
# Volume ... 40.78 A^3/atom
# Uncorrected formation energy ... -0.75 eV per atom

=====

# 4
# PBE RbSnSe, relaxed
data_RbSnSe
_space_group_name_H-M_alt 'P 1'
_space_group_IT_number 1
_cell_length_a 4.8955
_cell_length_b 6.2588
_cell_length_c 9.0713
_cell_angle_alpha 72.39
_cell_angle_beta 86.33
_cell_angle_gamma 68.02
loop_
_space_group_symop_operation_xyz
'x,y,z'
loop_
_atom_site_label
_atom_site_type_symbol
_atom_site_fract_x
_atom_site_fract_y
_atom_site_fract_z
Rb1 Rb 0.0000 0.0000 0.0000
Rb2 Rb 0.1954 0.6562 0.6294
Sn1 Sn 0.2813 0.2443 0.3726
Sn2 Sn 0.6936 0.4690 0.2023
Se1 Se 0.6571 0.8166 0.3326
Se2 Se 0.6671 0.6502 0.9009
# E above lowest polymorph ... 0 meV per atom
# Spin magnetization ... 0.00 μB per cell
# Volume ... 40.88 A^3/atom
# Uncorrected formation energy ... -0.66 eV per atom

=====

# 5
# PBE Rb2Sn2Se, relaxed
data_Rb2Sn2Se
_space_group_name_H-M_alt 'I 4/m m m'
_space_group_IT_number 139
_space_group_name_Hall '-I 4 2'
_cell_length_a 4.2226
_cell_length_b 4.2226
_cell_length_c 22.4709
_cell_angle_alpha 90.00
_cell_angle_beta 90.00
_cell_angle_gamma 90.00
loop_
_atom_site_label
_atom_site_type_symbol
_atom_site_fract_x
_atom_site_fract_y
_atom_site_fract_z
Rb1 Rb 0.0000 0.0000 0.0823
Sn1 Sn 0.0000 0.5000 0.2500
Se1 Se 0.0000 0.0000 0.5000
# DOS(E_F) ... 6.564 states/eV per cell
# E above lowest polymorph ... 0 meV per atom
# Spin magnetization ... 0.47 μB per cell
# Volume ... 40.07 A^3/atom
# Uncorrected formation energy ... -0.39 eV per atom

=====

# 6
# PBE Rb2Sn2Se, relaxed
data_Rb2Sn2Se
_space_group_name_H-M_alt 'I 4/m m m'
_space_group_IT_number 139
_space_group_name_Hall '-I 4 2'
_cell_length_a 5.4924
_cell_length_b 5.4924
_cell_length_c 14.3465
_cell_angle_alpha 90.00
_cell_angle_beta 90.00
_cell_angle_gamma 90.00
loop_
_atom_site_label
_atom_site_type_symbol
_atom_site_fract_x
_atom_site_fract_y
_atom_site_fract_z
Rb1 Rb 0.0000 0.5000 0.2500
Sn1 Sn 0.0000 0.0000 0.0901
Se1 Se 0.0000 0.0000 0.5000
# DOS(E_F) ... 6.897 states/eV per cell
# E above lowest polymorph ... 604 meV per atom
# Spin magnetization ... 0.00 μB per cell
# Volume ... 43.28 A^3/atom
# Uncorrected formation energy ... 0.22 eV per atom

=====

# 7
# PBE RbSn2Se4, relaxed
data_RbSn2Se4
_space_group_name_H-M_alt 'C m c m'
_space_group_IT_number 63
_space_group_name_Hall '-C 2c 2'
_cell_length_a 4.1428
_cell_length_b 13.8531
_cell_length_c 14.1724
_cell_angle_alpha 90.00
_cell_angle_beta 90.00
_cell_angle_gamma 90.00
loop_
_atom_site_label
_atom_site_type_symbol
_atom_site_fract_x
_atom_site_fract_y
_atom_site_fract_z
Rb1 Rb 0.0000 0.1040 0.2500
Sn1 Sn 0.0000 0.3607 0.0665
Se1 Se 0.0000 0.0000 0.0000
Se2 Se 0.0000 0.2687 0.6053
Se3 Se 0.0000 0.4178 0.2500
# DOS(E_F) ... 11.733 states/eV per cell
# E above lowest polymorph ... 101 meV per atom
# Spin magnetization ... 0.00 μB per cell
# Volume ... 29.05 A^3/atom
# Uncorrected formation energy ... -0.51 eV per atom

=====

# 8
# PBE RbSnSe, relaxed
data_RbSnSe
_space_group_name_H-M_alt 'P 1'
_space_group_IT_number 1
_cell_length_a 4.7113
_cell_length_b 4.7150
_cell_length_c 11.1858
_cell_angle_alpha 87.13
_cell_angle_beta 78.17
_cell_angle_gamma 74.83
loop_
_space_group_symop_operation_xyz
'x,y,z'
loop_
_atom_site_label
_atom_site_type_symbol
_atom_site_fract_x
_atom_site_fract_y
_atom_site_fract_z
Rb1 Rb 0.0000 0.0000 0.0000
Rb2 Rb 0.2975 0.0008 0.4014
Sn1 Sn 0.4570 0.3102 0.7018
Sn2 Sn 0.8385 0.6912 0.7000
Se1 Se 0.4212 0.4989 0.1553
Se2 Se 0.8766 0.5021 0.2460
# DOS(E_F) ... 2.703 states/eV per cell
# E above lowest polymorph ... 270 meV per atom
# Spin magnetization ... 0.00 μB per cell
# Volume ... 39.12 A^3/atom
# Uncorrected formation energy ... -0.39 eV per atom

=====

no.,calculated total energy (eV per formula unit)
1,-27.603
2,-46.822
3,-34.539
4,-10.449
5,-15.353
6,-12.335
7,-26.506
8,-9.639